Compound: KRbBr2O
Source: the Alexandria database
Functional: PBE
Structure: relaxed

Values from the calculation:
V ... 46.58 A^3/atom
Density ... 2.14 g/cm³
VASP energy ... -2.72 eV/atom

Lattice parameters (Å, degrees): 6.501 5.511 6.501 90.00 90.00 90.00
Positions (direct):
Rb (0.000, 0.000, 0.000)
Br (0.500, 0.000, 0.000)
Br (0.000, 0.000, 0.500)
K (0.500, 0.500, 0.500)
O (0.000, 0.500, 0.000)